(1)
Compound: Dy4PSe2S
Source: the Alexandria database
Functional: PBE
Structure: relaxed

Properties
DOS(E_F) = 2.9 states/eV per cell
Uncorrected formation energy = -1846 meV/atom
Size of the total moment = 0.00 μB/atom
Electronic total energy = -49.7 eV per cell
Volume = 184 Å³ per cell

Unit cell a=6.904 b=3.993 c=7.059 alpha=90.00 beta=109.04 gamma=90.00
Space group P2/m (No. 10)
One atom of each set of equivalent atoms:
Dy  0.239  0.000  0.226 (multiplicity 2)
Dy  0.254  0.500  0.774 (multiplicity 2)
P  0.000  0.500  0.000 (multiplicity 1)
Se  0.000  0.000  0.500 (multiplicity 1)
Se  0.500  0.500  0.500 (multiplicity 1)
S  0.500  0.000  0.000 (multiplicity 1)

=====

(2)
Compound: LaCoSi3
Source: the Alexandria database
Functional: PBE
Structure: relaxed

Properties
DOS(E_F) = 1.9 states/eV per cell
Uncorrected formation energy = -513 meV/atom
Size of the total moment = 0.00 μB/atom
Electronic total energy = -61.7 eV per cell
Volume = 184 Å³ per cell

Unit cell a=5.745 b=5.830 c=5.504 alpha=90.00 beta=90.00 gamma=90.00
Space group Pmn2_1 (No. 31)
One atom of each set of equivalent atoms:
La  0.000  0.126  0.000 (multiplicity 2)
Co  0.000  0.605  0.266 (multiplicity 2)
Si  0.000  0.794  0.603 (multiplicity 2)
Si  0.247  0.363  0.458 (multiplicity 4)

=====

(3)
Compound: AlHg4
Source: the Alexandria database
Functional: PBE
Structure: relaxed

Properties
DOS(E_F) = 3.3 states/eV per cell
Size of the total moment = 0.00 μB/atom
Electronic total energy = -8.5 eV per cell
Volume = 245 Å³ per cell

Unit cell a=6.743 b=6.743 c=5.382 alpha=90.00 beta=90.00 gamma=90.00
Space group I4/m (No. 87)
One atom of each set of equivalent atoms:
Al  0.000  0.000  0.000 (multiplicity 2)
Hg  0.126  0.301  0.500 (multiplicity 8)

=====

(4)
Compound: Ac2AlHg
Source: the Alexandria database
Functional: PBE
Structure: relaxed

Properties
DOS(E_F) = 13.1 states/eV per cell
Size of the total moment = 0.00 μB/atom
Electronic total energy = -35.9 eV per cell
Volume = 460 Å³ per cell

Unit cell a=3.9084 b=3.9084 c=34.7734 alpha=90.00 beta=90.00 gamma=120.00
Space group R-3m (No. 166, hexagonal axes)
One atom of each set of equivalent atoms:
Ac  0.0000  0.0000  0.0990 (multiplicity 6)
Al  0.0000  0.0000  0.5000 (multiplicity 3)
Hg  0.0000  0.0000  0.0000 (multiplicity 3)

=====

(5)
Compound: Pr3Hg2I2
Source: the Alexandria database
Functional: PBE
Structure: relaxed

Properties
DOS(E_F) = 5.5 states/eV per cell
Uncorrected formation energy = -671 meV/atom
Size of the total moment = 0.00 μB/atom
Electronic total energy = -22.7 eV per cell
Volume = 241 Å³ per cell

Unit cell a=4.517 b=6.177 c=9.626 alpha=104.33 beta=90.04 gamma=111.42
Space group P-1 (No. 2)
One atom of each set of equivalent atoms:
Pr  0.000  0.000  0.000 (multiplicity 1)
Pr  0.202  0.405  0.719 (multiplicity 2)
Hg  0.328  0.656  0.068 (multiplicity 2)
I  0.105  0.209  0.360 (multiplicity 2)

=====

(6)
Compound: Hf3GeAs2
Source: the Alexandria database
Functional: PBE
Structure: relaxed

Properties
DOS(E_F) = 5.0 states/eV per cell
Size of the total moment = 0.00 μB/atom
Electronic total energy = -97.6 eV per cell
Volume = 239 Å³ per cell

Unit cell a=3.823 b=5.431 c=11.534 alpha=90.00 beta=90.00 gamma=90.00
Space group Immm (No. 71)
One atom of each set of equivalent atoms:
Hf  0.000  0.000  0.000 (multiplicity 2)
Hf  0.000  0.000  0.335 (multiplicity 4)
Ge  0.000  0.500  0.000 (multiplicity 2)
As  0.000  0.500  0.333 (multiplicity 4)

=====

(7)
Compound: Ta3GeH2
Source: the Alexandria database
Functional: PBE
Structure: relaxed

Properties
DOS(E_F) = 5.8 states/eV per cell
Size of the total moment = 0.00 μB/atom
Electronic total energy = -94.7 eV per cell
Volume = 153 Å³ per cell

Unit cell a=5.127 b=3.118 c=9.580 alpha=90.00 beta=90.62 gamma=90.00
Space group P2_1/m (No. 11)
One atom of each set of equivalent atoms:
Ta  0.003  0.250  0.364 (multiplicity 2)
Ta  0.270  0.750  0.084 (multiplicity 2)
Ta  0.484  0.750  0.369 (multiplicity 2)
Ge  0.225  0.250  0.850 (multiplicity 2)
H  0.320  0.250  0.240 (multiplicity 2)
H  0.346  0.750  0.558 (multiplicity 2)

=====

(8)
Compound: SmTmMgTc
Source: the Alexandria database
Functional: PBE
Structure: relaxed

Properties
DOS(E_F) = 9.3 states/eV per cell
Size of the total moment = 0.00 μB/atom
Electronic total energy = -84.4 eV per cell
Volume = 364 Å³ per cell

Unit cell a=7.141 b=7.141 c=7.141 alpha=90.00 beta=90.00 gamma=90.00
Space group F-43m (No. 216)
One atom of each set of equivalent atoms:
Sm  0.000  0.000  0.000 (multiplicity 4)
Tm  0.000  0.000  0.500 (multiplicity 4)
Mg  0.250  0.250  0.750 (multiplicity 4)
Tc  0.250  0.250  0.250 (multiplicity 4)

=====

(9)
Compound: CaDyGaIr
Source: the Alexandria database
Functional: PBE
Structure: relaxed

Properties
DOS(E_F) = 5.7 states/eV per cell
Size of the total moment = 0.00 μB/atom
Electronic total energy = -41.9 eV per cell
Volume = 187 Å³ per cell

Unit cell a=4.054 b=4.084 c=11.310 alpha=90.00 beta=90.00 gamma=90.00
Space group Amm2 (No. 38)
One atom of each set of equivalent atoms:
Ca  0.000  0.000  0.000 (multiplicity 2)
Dy  0.500  0.000  0.290 (multiplicity 2)
Ga  0.500  0.000  0.589 (multiplicity 2)
Ir  0.000  0.000  0.726 (multiplicity 2)

=====

(10)
Compound: ReAuCl2
Source: the Alexandria database
Functional: PBE
Structure: relaxed

Properties
DOS(E_F) = 3.3 states/eV per cell
Uncorrected formation energy = 292 meV/atom
Size of the total moment = 0.00 μB/atom
Electronic total energy = -18.2 eV per cell
Volume = 81 Å³ per cell

Unit cell a=2.959 b=3.239 c=8.484 alpha=90.00 beta=90.26 gamma=90.00
Space group Pm (No. 6)
One atom of each set of equivalent atoms:
Re  0.000  0.000  0.000 (multiplicity 1)
Au  0.497  0.500  0.795 (multiplicity 1)
Cl  0.003  0.500  0.197 (multiplicity 1)
Cl  0.494  0.000  0.563 (multiplicity 1)

=====

(11)
Compound: Be4Cu9Au11
Source: the Alexandria database
Functional: PBE
Structure: relaxed

Properties
DOS(E_F) = 10.6 states/eV per cell
Size of the total moment = 0.00 μB/atom
Electronic total energy = -179.6 eV per cell
Volume = 680 Å³ per cell

Unit cell a=12.506 b=18.660 c=2.915 alpha=90.00 beta=90.00 gamma=90.00
Space group Cmmm (No. 65)
One atom of each set of equivalent atoms:
Be  0.151  0.101  0.000 (multiplicity 8)
Cu  0.000  0.000  0.000 (multiplicity 2)
Cu  0.103  0.238  0.000 (multiplicity 8)
Cu  0.144  0.429  0.000 (multiplicity 8)
Au  0.000  0.132  0.500 (multiplicity 4)
Au  0.000  0.342  0.500 (multiplicity 4)
Au  0.000  0.500  0.500 (multiplicity 2)
Au  0.199  0.000  0.500 (multiplicity 4)
Au  0.239  0.327  0.500 (multiplicity 8)

=====

(12)
Compound: Tb3Co3Si8
Source: the Alexandria database
Functional: PBE
Structure: relaxed

Properties
DOS(E_F) = 14.5 states/eV per cell
Uncorrected formation energy = -522 meV/atom
Size of the total moment = 0.08 μB/atom
Electronic total energy = -171.8 eV per cell
Volume = 435 Å³ per cell

Unit cell a=4.035 b=9.505 c=11.343 alpha=90.00 beta=90.00 gamma=90.00
Space group Immm (No. 71)
One atom of each set of equivalent atoms:
Tb  0.000  0.000  0.000 (multiplicity 2)
Tb  0.000  0.000  0.316 (multiplicity 4)
Co  0.000  0.226  0.500 (multiplicity 4)
Co  0.000  0.500  0.000 (multiplicity 2)
Si  0.000  0.293  0.115 (multiplicity 8)
Si  0.000  0.364  0.336 (multiplicity 8)

=====

(13)
Compound: SiC2F
Source: the Alexandria database
Functional: PBE
Structure: relaxed

Properties
DOS(E_F) = 6.3 states/eV per cell
Uncorrected formation energy = 1841 meV/atom
Size of the total moment = 0.00 μB/atom
Electronic total energy = -73.5 eV per cell
Volume = 142 Å³ per cell

Unit cell a=5.213 b=5.213 c=5.213 alpha=90.00 beta=90.00 gamma=90.00
Space group Fm-3m (No. 225)
One atom of each set of equivalent atoms:
Si  0.000  0.000  0.000 (multiplicity 4)
C  0.250  0.250  0.250 (multiplicity 8)
F  0.000  0.000  0.500 (multiplicity 4)

=====

(14)
Compound: Cs8HgI4Br3
Source: the Alexandria database
Functional: PBE
Structure: relaxed

Properties
DOS(E_F) = 18.3 states/eV per cell
Uncorrected formation energy = -1420 meV/atom
Size of the total moment = 0.07 μB/atom
Electronic total energy = -123.2 eV per cell
Volume = 2731 Å³ per cell

Unit cell a=10.9514 b=10.9514 c=26.2940 alpha=90.00 beta=90.00 gamma=120.00
Space group R-3m (No. 166, hexagonal axes)
One atom of each set of equivalent atoms:
Cs  0.0000  0.0000  0.2447 (multiplicity 6)
Cs  0.0118  0.5059  0.7537 (multiplicity 18)
Hg  0.0000  0.0000  0.5000 (multiplicity 3)
I  0.0000  0.0000  0.0000 (multiplicity 3)
I  0.0000  0.5000  0.0000 (multiplicity 9)
Br  0.0000  0.5000  0.5000 (multiplicity 9)

=====

(15)
Compound: PrDy2YTe6
Source: the Alexandria database
Functional: PBE
Structure: relaxed

Properties
Uncorrected formation energy = -1371 meV/atom
Size of the total moment = 0.00 μB/atom
Electronic total energy = -159.0 eV per cell
Volume = 1113 Å³ per cell

Unit cell a=7.7859 b=7.7859 c=21.1959 alpha=90.00 beta=90.00 gamma=120.00
Space group R3 (No. 146, hexagonal axes)
One atom of each set of equivalent atoms:
Pr  0.0000  0.0000  0.0000 (multiplicity 3)
Dy  0.0000  0.0000  0.3087 (multiplicity 3)
Dy  0.0000  0.0000  0.8112 (multiplicity 3)
Y  0.0000  0.0000  0.4965 (multiplicity 3)
Te  0.0046  0.3182  0.9009 (multiplicity 9)
Te  0.0179  0.6488  0.0689 (multiplicity 9)

=====

(16)
Compound: Tb2PmNd3S6
Source: the Alexandria database
Functional: PBE
Structure: relaxed

Properties
DOS(E_F) = 10.6 states/eV per cell
Uncorrected formation energy = -2026 meV/atom
Size of the total moment = 0.00 μB/atom
Electronic total energy = -154.8 eV per cell
Volume = 550 Å³ per cell

Unit cell a=6.932 b=12.048 c=6.976 alpha=90.00 beta=109.40 gamma=90.00
Space group C2/m (No. 12)
One atom of each set of equivalent atoms:
Tb  0.000  0.166  0.000 (multiplicity 4)
Pm  0.000  0.500  0.000 (multiplicity 2)
Nd  0.000  0.000  0.500 (multiplicity 2)
Nd  0.000  0.336  0.500 (multiplicity 4)
S  0.240  0.000  0.238 (multiplicity 4)
S  0.250  0.170  0.759 (multiplicity 8)

=====

(17)
Compound: Pm2PrNd2Dy2
Source: the Alexandria database
Functional: PBE
Structure: relaxed

Properties
DOS(E_F) = 19.8 states/eV per cell
Size of the total moment = 0.00 μB/atom
Electronic total energy = -65.8 eV per cell
Volume = 477 Å³ per cell

Unit cell a=11.476 b=5.144 c=8.157 alpha=90.00 beta=98.10 gamma=90.00
Space group C2/m (No. 12)
One atom of each set of equivalent atoms:
Pm  0.143  0.000  0.430 (multiplicity 4)
Pr  0.000  0.000  0.000 (multiplicity 2)
Nd  0.072  0.500  0.716 (multiplicity 4)
Dy  0.215  0.500  0.142 (multiplicity 4)

=====

(18)
Compound: KSi2Rh2
Source: the Alexandria database
Functional: PBE
Structure: relaxed

Properties
DOS(E_F) = 3.9 states/eV per cell
Uncorrected formation energy = -549 meV/atom
Size of the total moment = 0.00 μB/atom
Electronic total energy = -58.8 eV per cell
Volume = 194 Å³ per cell

Unit cell a=4.138 b=4.138 c=11.340 alpha=90.00 beta=90.00 gamma=90.00
Space group I4/mmm (No. 139)
One atom of each set of equivalent atoms:
K  0.000  0.000  0.000 (multiplicity 2)
Si  0.000  0.000  0.353 (multiplicity 4)
Rh  0.000  0.500  0.250 (multiplicity 4)

=====

(19)
Compound: NbTc2Mo2
Source: the Alexandria database
Functional: PBE
Structure: relaxed

Properties
DOS(E_F) = 5.7 states/eV per cell
Size of the total moment = 0.00 μB/atom
Electronic total energy = -102.7 eV per cell
Volume = 164 Å³ per cell

Unit cell a=7.465 b=7.465 c=2.940 alpha=90.00 beta=90.00 gamma=90.00
Space group P4/mbm (No. 127)
One atom of each set of equivalent atoms:
Nb  0.000  0.000  0.000 (multiplicity 2)
Tc  0.152  0.348  0.500 (multiplicity 4)
Mo  0.148  0.648  0.000 (multiplicity 4)

=====

(20)
Compound: AcMgRh2
Source: the Alexandria database
Functional: PBE
Structure: relaxed

Properties
DOS(E_F) = 11.0 states/eV per cell
Size of the total moment = 0.00 μB/atom
Electronic total energy = -81.3 eV per cell
Volume = 400 Å³ per cell

Unit cell a=6.429 b=7.339 c=8.474 alpha=90.00 beta=90.00 gamma=90.00
Space group Pmma (No. 51)
One atom of each set of equivalent atoms:
Ac  0.250  0.000  0.211 (multiplicity 2)
Ac  0.250  0.500  0.279 (multiplicity 2)
Mg  0.250  0.000  0.749 (multiplicity 2)
Mg  0.250  0.500  0.776 (multiplicity 2)
Rh  0.000  0.000  0.500 (multiplicity 2)
Rh  0.000  0.500  0.000 (multiplicity 2)
Rh  0.250  0.290  0.535 (multiplicity 4)